## i
A plane-wave DFT calculation with PBE was carried out for crystalline Sr3AgO4 at its relaxed geometry.

Computed properties:
Volume: 19.7 Å³/atom
Space-group type: Pmmn (59)

Structure (extended XYZ):
```
16
Lattice="-2.2715 -0.2238 -4.4277 -6.0537 -2.6855 3.2414 -2.9549 8.0025 1.1114" Properties=species:S:1:pos:R:3 pbc="T T T"
Sr -6.5923 -2.4820 0.3443
Sr -4.8898 0.1430 2.1404
Sr -4.0697 1.0320 -1.1274
Sr -2.3672 3.6570 0.6686
Sr -5.5049 4.9188 -0.5876
Sr -6.4095 4.2587 2.7120
Ag -1.6492 -0.6811 0.5196
Ag -7.3102 1.8561 0.4934
O -5.1276 -2.2242 2.3820
O -2.5511 -0.6893 -1.8196
O -2.7613 1.1157 0.9992
O -6.1982 0.0593 0.0137
O -6.4085 1.8643 2.8324
O -3.8319 3.3992 -1.3691
O -7.6515 3.9950 0.5603
O -4.2629 5.1825 1.5640
```


## ii
A plane-wave DFT calculation with PBE was carried out for crystalline Sr3AgO4 at its relaxed geometry.

Computed properties:
Volume: 16.6 Å³/atom
Space-group type: P4/mmm (123)

Structure (extended XYZ):
```
8
Lattice="3.6386 0.0000 0.0000 0.0000 3.6386 0.0000 0.0000 0.0000 10.0527" Properties=species:S:1:pos:R:3 pbc="T T T"
Sr 1.8193 1.8193 7.6823
Sr 0.0000 0.0000 5.0264
Sr 1.8193 1.8193 2.3704
O 0.0000 0.0000 2.4170
O 1.8193 1.8193 0.0000
O 0.0000 0.0000 7.6357
O 1.8193 1.8193 5.0264
Ag 0.0000 0.0000 0.0000
```


ii is the most stable structure; the next one sits 42 meV/atom above it.


## i
A plane-wave DFT calculation with PBE was carried out for crystalline Ta2Ag2O at its relaxed geometry.

Computed properties:
Volume: 16.5 Å³/atom
Space-group type: P4/mbm (127)

Structure (extended XYZ):
```
10
Lattice="5.6872 0.0000 0.0000 0.0000 5.6872 0.0000 0.0000 0.0000 5.0954" Properties=species:S:1:pos:R:3 pbc="T T T"
O 0.0000 0.0000 0.0000
O 2.8436 2.8436 0.0000
Ag 0.9473 3.7908 2.5477
Ag 3.7908 4.7399 2.5477
Ag 4.7399 1.8963 2.5477
Ag 1.8963 0.9473 2.5477
Ta 1.8721 4.7157 0.0000
Ta 4.7157 3.8151 0.0000
Ta 3.8151 0.9715 0.0000
Ta 0.9715 1.8721 0.0000
```


## ii
A plane-wave DFT calculation with PBE was carried out for crystalline Ta2Ag2O at its relaxed geometry.

Computed properties:
Volume: 17.7 Å³/atom
Space-group type: I4/mmm (139)

Structure (extended XYZ):
```
5
Lattice="3.4755 0.0000 0.0000 0.0000 3.4755 0.0000 1.7378 1.7378 7.3276" Properties=species:S:1:pos:R:3 pbc="T T T"
O 0.0000 0.0000 0.0000
Ag 3.4755 1.7378 3.6638
Ag 1.7378 3.4755 3.6638
Ta 1.7378 1.7378 1.3062
Ta 3.4755 3.4755 6.0213
```


i is the most stable structure; the next one sits 1353 meV/atom above it.